[1]
First-principles (PBE-GGA) data for a relaxed structure of Li4MgSn3, as listed in Alexandria via LeMat-Bulk.

Computed properties:
**Crystal system**: orthorhombic
**ΔH_f (0 K)**: -2.6 eV/f.u.

```
data_Li4MgSn3
_symmetry_space_group_name_H-M 'P m m a'
_symmetry_Int_Tables_number 51
_cell_length_a 10.1244
_cell_length_b 6.1674
_cell_length_c 5.1509
_cell_angle_alpha 90.00
_cell_angle_beta 90.00
_cell_angle_gamma 90.00
loop_
_symmetry_equiv_pos_as_xyz
'x,y,z'
'-x,-y,-z'
'-x+1/2,-y,z'
'x+1/2,y,-z'
'x+1/2,-y,-z'
'-x+1/2,y,z'
'-x,y,-z'
'x,-y,z'
loop_
_atom_site_label
_atom_site_type_symbol
_atom_site_fract_x
_atom_site_fract_y
_atom_site_fract_z
Li1 Li 0.0000 0.2438 0.0000
Li2 Li 0.2500 0.2432 0.3726
Mg1 Mg 0.0000 0.5000 0.5000
Sn1 Sn 0.0000 0.0000 0.5000
Sn2 Sn 0.2500 0.0000 0.8734
Sn3 Sn 0.2500 0.5000 0.8936
```

[2]
First-principles (PBE-GGA) data for a relaxed structure of Na3Cd8Pb, as listed in Alexandria via LeMat-Bulk.

Computed properties:
**Crystal system**: trigonal
**ΔH_f (0 K)**: -1.1 eV/f.u.
**Excess energy over the best structure of this formula in the dataset**: 0.0156 eV per atom

```
data_Na3Cd8Pb
_symmetry_space_group_name_H-M 'R 3 m'
_symmetry_Int_Tables_number 160
_symmetry_space_group_name_Hall 'R 3 -2"'
_cell_length_a 5.9983
_cell_length_b 5.9983
_cell_length_c 29.3003
_cell_angle_alpha 90.00
_cell_angle_beta 90.00
_cell_angle_gamma 120.00
loop_
_atom_site_label
_atom_site_type_symbol
_atom_site_fract_x
_atom_site_fract_y
_atom_site_fract_z
Na1 Na 0.0000 0.0000 0.0000
Na2 Na 0.0000 0.0000 0.1259
Na3 Na 0.0000 0.0000 0.6246
Cd1 Cd 0.0000 0.0000 0.3128
Cd2 Cd 0.0000 0.0000 0.8121
Cd3 Cd 0.0007 0.5004 0.5631
Cd4 Cd 0.1674 0.3348 0.3952
Pb1 Pb 0.0000 0.0000 0.5003
```

[3]
First-principles (PBE-GGA) data for a relaxed structure of NdIn2Te4, as listed in Alexandria via LeMat-Bulk.

Computed properties:
**Formation energy without anion corrections**: -0.48 eV/atom
**Crystal system**: tetragonal

```
data_NdIn2Te4
_symmetry_space_group_name_H-M 'I 4/m'
_symmetry_Int_Tables_number 87
_symmetry_space_group_name_Hall '-I 4'
_cell_length_a 8.4075
_cell_length_b 8.4075
_cell_length_c 7.4086
_cell_angle_alpha 90.00
_cell_angle_beta 90.00
_cell_angle_gamma 90.00
loop_
_atom_site_label
_atom_site_type_symbol
_atom_site_fract_x
_atom_site_fract_y
_atom_site_fract_z
Nd1 Nd 0.0000 0.0000 0.0000
In1 In 0.0000 0.5000 0.2500
Te1 Te 0.1807 0.3014 0.5000
```

[4]
First-principles (PBE-GGA) data for a relaxed structure of TiCdHg2, as listed in Alexandria via LeMat-Bulk.

Computed properties:
**Crystal system**: tetragonal
**ΔH_f (0 K)**: 0.1 eV/f.u.

```
data_TiCdHg2
_symmetry_space_group_name_H-M 'P 4/m m m'
_symmetry_Int_Tables_number 123
_symmetry_space_group_name_Hall '-P 4 2'
_cell_length_a 3.1812
_cell_length_b 3.1812
_cell_length_c 8.0652
_cell_angle_alpha 90.00
_cell_angle_beta 90.00
_cell_angle_gamma 90.00
loop_
_atom_site_label
_atom_site_type_symbol
_atom_site_fract_x
_atom_site_fract_y
_atom_site_fract_z
Ti1 Ti 0.0000 0.0000 0.0000
Cd1 Cd 0.0000 0.0000 0.5000
Hg1 Hg 0.5000 0.5000 0.2333
```

[5]
First-principles (PBE-GGA) data for a relaxed structure of Ca5MgTl4, as listed in Alexandria via LeMat-Bulk.

Computed properties:
**Crystal system**: tetragonal
**ΔH_f (0 K)**: -3.7 eV/f.u.

```
data_Ca5MgTl4
_symmetry_space_group_name_H-M 'P 4/m m m'
_symmetry_Int_Tables_number 123
_symmetry_space_group_name_Hall '-P 4 2'
_cell_length_a 3.9058
_cell_length_b 3.9058
_cell_length_c 19.4606
_cell_angle_alpha 90.00
_cell_angle_beta 90.00
_cell_angle_gamma 90.00
loop_
_atom_site_label
_atom_site_type_symbol
_atom_site_fract_x
_atom_site_fract_y
_atom_site_fract_z
Ca1 Ca 0.0000 0.0000 0.0000
Ca2 Ca 0.0000 0.0000 0.1999
Ca3 Ca 0.0000 0.0000 0.3966
Mg1 Mg 0.5000 0.5000 0.5000
Tl1 Tl 0.5000 0.5000 0.0998
Tl2 Tl 0.5000 0.5000 0.2999
```

[6]
First-principles (PBE-GGA) data for a relaxed structure of SrMnBr4, as listed in Alexandria via LeMat-Bulk.

Computed properties:
**Formation energy without anion corrections**: -1.42 eV/atom
**Crystal system**: monoclinic
**Excess energy over the best structure of this formula in the dataset**: 0.0000 eV per atom

```
data_SrMnBr4
_symmetry_space_group_name_H-M 'C 1 2/c 1'
_symmetry_Int_Tables_number 15
_cell_length_a 12.2417
_cell_length_b 9.0512
_cell_length_c 8.0308
_cell_angle_alpha 90.00
_cell_angle_beta 90.09
_cell_angle_gamma 90.00
loop_
_symmetry_equiv_pos_as_xyz
'x,y,z'
'-x,-y,-z'
'-x,y,-z+1/2'
'x,-y,z+1/2'
'x+1/2,y+1/2,z'
'-x+1/2,-y+1/2,-z'
'-x+1/2,y+1/2,-z+1/2'
'x+1/2,-y+1/2,z+1/2'
loop_
_atom_site_label
_atom_site_type_symbol
_atom_site_fract_x
_atom_site_fract_y
_atom_site_fract_z
Sr1 Sr 0.2500 0.2500 0.0000
Mn1 Mn 0.0000 0.0006 0.2500
Br1 Br 0.0006 0.2068 0.9996
Br2 Br 0.2207 0.0010 0.2510
```

[7]
First-principles (PBE-GGA) data for a relaxed structure of ErHfAlOs, as listed in Alexandria via LeMat-Bulk.

Computed properties:
**Crystal system**: cubic
**ΔH_f (0 K)**: -1.3 eV/f.u.

```
data_ErHfAlOs
_symmetry_space_group_name_H-M 'F -4 3 m'
_symmetry_Int_Tables_number 216
_symmetry_space_group_name_Hall 'F -4 2 3'
_cell_length_a 6.7525
_cell_length_b 6.7525
_cell_length_c 6.7525
_cell_angle_alpha 90.00
_cell_angle_beta 90.00
_cell_angle_gamma 90.00
loop_
_atom_site_label
_atom_site_type_symbol
_atom_site_fract_x
_atom_site_fract_y
_atom_site_fract_z
Er1 Er 0.0000 0.0000 0.0000
Hf1 Hf 0.0000 0.0000 0.5000
Al1 Al 0.2500 0.2500 0.7500
Os1 Os 0.2500 0.2500 0.2500
```

[8]
First-principles (PBE-GGA) data for a relaxed structure of Li7Hg12Bi, as listed in Alexandria via LeMat-Bulk.

Computed properties:
**Crystal system**: trigonal
**ΔH_f (0 K)**: -4.6 eV/f.u.

```
data_Li7Hg12Bi
_symmetry_space_group_name_H-M 'R -3'
_symmetry_Int_Tables_number 148
_symmetry_space_group_name_Hall '-R 3'
_cell_length_a 16.6733
_cell_length_b 16.6733
_cell_length_c 5.7460
_cell_angle_alpha 90.00
_cell_angle_beta 90.00
_cell_angle_gamma 120.00
loop_
_atom_site_label
_atom_site_type_symbol
_atom_site_fract_x
_atom_site_fract_y
_atom_site_fract_z
Li1 Li 0.0000 0.0000 0.0000
Li2 Li 0.0546 0.8742 0.3277
Hg1 Hg 0.0262 0.4294 0.1610
Hg2 Hg 0.0606 0.8591 0.8406
Bi1 Bi 0.0000 0.0000 0.5000
```

[9]
First-principles (PBE-GGA) data for a relaxed structure of TiSn4O10, as listed in Alexandria via LeMat-Bulk.

Computed properties:
**Formation energy without anion corrections**: -1.90 eV/atom
**Crystal system**: triclinic

```
data_TiSn4O10
_symmetry_space_group_name_H-M 'P -1'
_symmetry_Int_Tables_number 2
_cell_length_a 4.7980
_cell_length_b 5.7557
_cell_length_c 13.5487
_cell_angle_alpha 78.77
_cell_angle_beta 89.96
_cell_angle_gamma 89.95
loop_
_symmetry_equiv_pos_as_xyz
'x,y,z'
'-x,-y,-z'
loop_
_atom_site_label
_atom_site_type_symbol
_atom_site_fract_x
_atom_site_fract_y
_atom_site_fract_z
Ti1 Ti 0.0006 0.3981 0.3014
Sn1 Sn 0.0000 0.0000 0.5000
Sn2 Sn 0.9999 0.2041 0.8984
Sn3 Sn 0.4979 0.3002 0.1027
Sn4 Sn 0.4996 0.1016 0.6994
Sn5 Sn 0.5000 0.5000 0.5000
O1 O 0.1886 0.3239 0.4336
O2 O 0.1902 0.7005 0.2438
O3 O 0.1899 0.9044 0.6422
O4 O 0.1905 0.1179 0.0398
O5 O 0.1908 0.5256 0.8316
O6 O 0.2934 0.2155 0.2413
O7 O 0.2935 0.4171 0.6381
O8 O 0.3068 0.6168 0.0385
O9 O 0.3122 0.8221 0.4410
O10 O 0.3127 0.0232 0.8393
```

[10]
First-principles (PBE-GGA) data for a relaxed structure of Cs2CaSbTe4, as listed in Alexandria via LeMat-Bulk.

Computed properties:
**Formation energy without anion corrections**: -0.76 eV/atom
**Crystal system**: orthorhombic

```
data_Cs2CaSbTe4
_symmetry_space_group_name_H-M 'F d d d'
_symmetry_Int_Tables_number 70
_cell_length_a 7.2304
_cell_length_b 15.8037
_cell_length_c 28.1210
_cell_angle_alpha 90.00
_cell_angle_beta 90.00
_cell_angle_gamma 90.00
loop_
_symmetry_equiv_pos_as_xyz
'x,y,z'
'-x,-y,-z'
'-x+1/4,-y+1/4,z'
'x+1/4,y+1/4,-z'
'x,-y+1/4,-z+1/4'
'-x,y+1/4,z+1/4'
'-x+1/4,y,-z+1/4'
'x+1/4,-y,z+1/4'
'x,y+1/2,z+1/2'
'-x,-y+1/2,-z+1/2'
'-x+1/4,-y+3/4,z+1/2'
'x+1/4,y+3/4,-z+1/2'
'x,-y+3/4,-z+3/4'
'-x,y+3/4,z+3/4'
'-x+1/4,y+1/2,-z+3/4'
'x+1/4,-y+1/2,z+3/4'
'x+1/2,y,z+1/2'
'-x+1/2,-y,-z+1/2'
'-x+3/4,-y+1/4,z+1/2'
'x+3/4,y+1/4,-z+1/2'
'x+1/2,-y+1/4,-z+3/4'
'-x+1/2,y+1/4,z+3/4'
'-x+3/4,y,-z+3/4'
'x+3/4,-y,z+3/4'
'x+1/2,y+1/2,z'
'-x+1/2,-y+1/2,-z'
'-x+3/4,-y+3/4,z'
'x+3/4,y+3/4,-z'
'x+1/2,-y+3/4,-z+1/4'
'-x+1/2,y+3/4,z+1/4'
'-x+3/4,y+1/2,-z+1/4'
'x+3/4,-y+1/2,z+1/4'
loop_
_atom_site_label
_atom_site_type_symbol
_atom_site_fract_x
_atom_site_fract_y
_atom_site_fract_z
Cs1 Cs 0.1250 0.1250 0.3068
Ca1 Ca 0.1250 0.1250 0.1250
Sb1 Sb 0.1250 0.1250 0.6250
Te1 Te 0.1051 0.2628 0.8203
```

[11]
First-principles (PBE-GGA) data for a relaxed structure of NaAl2CuS4, as listed in Alexandria via LeMat-Bulk.

Computed properties:
**Formation energy without anion corrections**: -0.94 eV/atom
**Crystal system**: tetragonal

```
data_NaAl2CuS4
_symmetry_space_group_name_H-M 'I -4 2 m'
_symmetry_Int_Tables_number 121
_symmetry_space_group_name_Hall 'I -4 2'
_cell_length_a 5.3135
_cell_length_b 5.3135
_cell_length_c 11.7658
_cell_angle_alpha 90.00
_cell_angle_beta 90.00
_cell_angle_gamma 90.00
loop_
_atom_site_label
_atom_site_type_symbol
_atom_site_fract_x
_atom_site_fract_y
_atom_site_fract_z
Na1 Na 0.0000 0.0000 0.0000
Al1 Al 0.0000 0.5000 0.2500
Cu1 Cu 0.0000 0.0000 0.5000
S1 S 0.2278 0.2278 0.6389
```

no.,electronic total energy (eV/atom),D(E_F) (states/eV per cell),magnetization (μB per cell)
1,-2.976,2.87,0.00
2,-1.337,14.39,0.00
3,-3.735,8.30,0.00
4,-2.323,3.32,0.00
5,-2.480,7.73,0.00
6,-4.346,0.00,20.00
7,-7.705,3.20,0.00
8,-1.277,25.62,0.00
9,-6.795,0.00,0.00
10,-3.310,42.17,0.00
11,-4.618,0.00,0.00